A | VASP calculation (PBE) on an optimized crystal structure of Hf3TiO. Values from VASP.

Summary:
SG ... Pm-3m (221)

```
&SYSTEM
  ibrav = 0, nat = 5, ntyp = 3
/
ATOMIC_SPECIES
Hf 178.49 Hf.upf
Ti 47.87 Ti.upf
O 16.00 O.upf
CELL_PARAMETERS angstrom
4.8675 0.0000 0.0000
0.0000 4.8675 0.0000
0.0000 0.0000 4.8675
ATOMIC_POSITIONS angstrom
Hf 0.0000 0.0000 2.4337
Hf 0.0000 2.4337 0.0000
Hf 2.4337 0.0000 0.0000
Ti 0.0000 0.0000 0.0000
O 2.4337 2.4337 2.4337
```

B | VASP calculation (PBE) on an optimized crystal structure of Hf3TiO. Values from VASP.

Summary:
SG ... C2/m (12)

```
&SYSTEM
  ibrav = 0, nat = 10, ntyp = 3
/
ATOMIC_SPECIES
Hf 178.49 Hf.upf
Ti 47.87 Ti.upf
O 16.00 O.upf
CELL_PARAMETERS angstrom
7.8046 -1.5792 0.0000
7.8046 1.5792 0.0000
-0.4086 0.0000 7.4165
ATOMIC_POSITIONS angstrom
Hf 0.9691 0.0000 1.2379
Hf 1.2771 0.0000 4.2804
Hf 4.9630 0.0000 0.7423
Hf 10.2376 0.0000 6.6742
Hf 13.9235 0.0000 3.1361
Hf 14.2315 0.0000 6.1786
Ti 4.2709 0.0000 4.8777
Ti 10.9297 0.0000 2.5389
O 0.7583 0.0000 6.4872
O 14.4423 0.0000 0.9293
```

C | VASP calculation (PBE) on an optimized crystal structure of Hf3TiO. Values from VASP.

Summary:
SG ... Pm-3m (221)

```
&SYSTEM
  ibrav = 0, nat = 5, ntyp = 3
/
ATOMIC_SPECIES
Hf 178.49 Hf.upf
Ti 47.87 Ti.upf
O 16.00 O.upf
CELL_PARAMETERS angstrom
4.4402 0.0000 0.0000
0.0000 4.4402 0.0000
0.0000 0.0000 4.4402
ATOMIC_POSITIONS angstrom
Hf 0.0000 0.0000 2.2201
Hf 0.0000 2.2201 0.0000
Hf 2.2201 0.0000 0.0000
Ti 2.2201 2.2201 2.2201
O 0.0000 0.0000 0.0000
```

Which structure wins on stability? C wins.

A | VASP calculation (PBE) on an optimized crystal structure of HfTl3O. Values from VASP.

Summary:
SG ... Pm-3m (221)

```
&SYSTEM
  ibrav = 0, nat = 5, ntyp = 3
/
ATOMIC_SPECIES
Hf 178.49 Hf.upf
Tl 204.38 Tl.upf
O 16.00 O.upf
CELL_PARAMETERS angstrom
4.8757 0.0000 0.0000
0.0000 4.8757 0.0000
0.0000 0.0000 4.8757
ATOMIC_POSITIONS angstrom
Hf 0.0000 0.0000 0.0000
Tl 0.0000 2.4378 2.4378
Tl 2.4378 0.0000 2.4378
Tl 2.4378 2.4378 0.0000
O 2.4378 2.4378 2.4378
```

B | VASP calculation (PBE) on an optimized crystal structure of HfTl3O. Values from VASP.

Summary:
SG ... Pm-3m (221)

```
&SYSTEM
  ibrav = 0, nat = 5, ntyp = 3
/
ATOMIC_SPECIES
Hf 178.49 Hf.upf
Tl 204.38 Tl.upf
O 16.00 O.upf
CELL_PARAMETERS angstrom
5.6756 0.0000 0.0000
0.0000 5.6756 0.0000
0.0000 0.0000 5.6756
ATOMIC_POSITIONS angstrom
Hf 0.0000 0.0000 0.0000
Tl 0.0000 0.0000 2.8378
Tl 0.0000 2.8378 0.0000
Tl 2.8378 0.0000 0.0000
O 2.8378 2.8378 2.8378
```

Which structure wins on stability? A wins.

A | VASP calculation (PBE) on an optimized crystal structure of HfTlO2. Values from VASP.

Summary:
SG ... I-42d (122)

```
&SYSTEM
  ibrav = 0, nat = 16, ntyp = 3
/
ATOMIC_SPECIES
Hf 178.49 Hf.upf
Tl 204.38 Tl.upf
O 16.00 O.upf
CELL_PARAMETERS angstrom
6.2456 0.0000 0.0000
0.0000 6.2456 0.0000
0.0000 0.0000 9.3980
ATOMIC_POSITIONS angstrom
Hf 0.0000 0.0000 0.0000
Hf 0.0000 3.1228 2.3495
Hf 3.1228 0.0000 7.0485
Hf 3.1228 3.1228 4.6990
Tl 0.0000 0.0000 4.6990
Tl 0.0000 3.1228 7.0485
Tl 3.1228 0.0000 2.3495
Tl 3.1228 3.1228 0.0000
O 0.0861 1.5614 1.1747
O 1.5614 3.2089 3.5242
O 1.5614 6.1596 8.2232
O 3.0367 1.5614 5.8737
O 3.2089 4.6842 5.8737
O 4.6842 0.0861 8.2232
O 4.6842 3.0367 3.5242
O 6.1596 4.6842 1.1747
```

B | VASP calculation (PBE) on an optimized crystal structure of HfTlO2. Values from VASP.

Summary:
SG ... R-3m (166)

```
&SYSTEM
  ibrav = 0, nat = 12, ntyp = 3
/
ATOMIC_SPECIES
Hf 178.49 Hf.upf
Tl 204.38 Tl.upf
O 16.00 O.upf
CELL_PARAMETERS angstrom
3.4523 0.0000 0.0000
-1.7262 2.9898 0.0000
0.0000 0.0000 20.6466
ATOMIC_POSITIONS angstrom
Hf 0.0000 0.0000 0.0000
Hf 0.0000 1.9932 13.7644
Hf 1.7262 0.9966 6.8822
Tl 0.0000 0.0000 10.3233
Tl 0.0000 1.9932 3.4411
Tl 1.7262 0.9966 17.2055
O 0.0000 0.0000 1.9731
O 0.0000 0.0000 18.6735
O 0.0000 1.9932 11.7913
O 0.0000 1.9932 15.7375
O 1.7262 0.9966 4.9091
O 1.7262 0.9966 8.8553
```

C | VASP calculation (PBE) on an optimized crystal structure of HfTlO2. Values from VASP.

Summary:
SG ... R-3m (166)

```
&SYSTEM
  ibrav = 0, nat = 12, ntyp = 3
/
ATOMIC_SPECIES
Hf 178.49 Hf.upf
Tl 204.38 Tl.upf
O 16.00 O.upf
CELL_PARAMETERS angstrom
3.2650 0.0000 0.0000
-1.6325 2.8276 0.0000
0.0000 0.0000 28.5009
ATOMIC_POSITIONS angstrom
Hf 0.0000 0.0000 0.0000
Hf 0.0000 1.8851 19.0006
Hf 1.6325 0.9425 9.5003
Tl 0.0000 0.0000 14.2504
Tl 0.0000 1.8851 4.7502
Tl 1.6325 0.9425 23.7507
O 0.0000 0.0000 10.4533
O 0.0000 0.0000 18.0475
O 0.0000 1.8851 0.9531
O 0.0000 1.8851 8.5472
O 1.6325 0.9425 19.9537
O 1.6325 0.9425 27.5478
```

Which structure wins on stability? C wins.